Computed, not measured: PuSnHg2 after structural relaxation at the GGA-PBE level of DFT.

a = 5.240 Å, b = 5.240 Å, c = 5.240 Å
α = 60.00°, β = 60.00°, γ = 60.00°
Fractional positions:
Pu 0.000 0.000 0.000
Sn 0.750 0.750 0.750
Hg 0.250 0.250 0.250
Hg 0.500 0.500 0.500

=====

Computed, not measured: Pu2SnHg8 after structural relaxation at the GGA-PBE level of DFT.

a = 4.987 Å, b = 4.987 Å, c = 11.810 Å
α = 90.00°, β = 90.00°, γ = 90.00°
Fractional positions:
Pu 0.000 0.000 0.182
Pu 0.000 0.000 0.818
Sn 0.000 0.000 0.500
Hg 0.000 0.500 0.000
Hg 0.000 0.500 0.354
Hg 0.000 0.500 0.646
Hg 0.500 0.000 0.000
Hg 0.500 0.000 0.354
Hg 0.500 0.000 0.646
Hg 0.500 0.500 0.185
Hg 0.500 0.500 0.815

=====

Computed, not measured: PuSn2Hg6 after structural relaxation at the GGA-PBE level of DFT.

a = 5.270 Å, b = 5.270 Å, c = 9.561 Å
α = 90.08°, β = 90.08°, γ = 60.60°
Fractional positions:
Pu 0.000 0.000 0.000
Sn 0.332 0.332 0.180
Sn 0.668 0.668 0.820
Hg 0.001 0.001 0.661
Hg 0.333 0.333 0.508
Hg 0.334 0.334 0.850
Hg 0.666 0.666 0.150
Hg 0.667 0.667 0.492
Hg 0.999 0.999 0.339

=====

Computed, not measured: Pu2SnHg after structural relaxation at the GGA-PBE level of DFT.

a = 5.659 Å, b = 5.659 Å, c = 3.441 Å
α = 90.00°, β = 90.00°, γ = 113.64°
Fractional positions:
Pu 0.000 0.500 0.000
Pu 0.500 0.000 0.000
Sn 0.000 0.000 0.500
Hg 0.500 0.500 0.500

=====

Q: Which ΔE_f values were calculated for the entries above? A: -0.11 -0.08 -0.04 -0.24, in eV per atom.